No. 1
Here is a relaxed structure of KNiOs2 from Alexandria via LeMat-Bulk. Energies are from GGA-PBE.

Unit cell a=6.362 b=6.362 c=6.362 alpha=90.00 beta=90.00 gamma=90.00
Space group Fm-3m (No. 225)
One atom of each set of equivalent atoms:
K 0.000 0.000 0.000
Ni 0.000 0.000 0.500
Os 0.250 0.250 0.250

Results
Offset from the most stable computed form ... 1273 meV per atom
ΔE_f ... 1992 meV per atom

No. 2
Here is a relaxed structure of KNi2Os from Alexandria via LeMat-Bulk. Energies are from GGA-PBE.

Unit cell a=2.810 b=2.810 c=8.424 alpha=90.00 beta=90.00 gamma=90.00
Space group P4/mmm (No. 123)
One atom of each set of equivalent atoms:
K 0.000 0.000 0.000
Ni 0.500 0.500 0.315
Os 0.000 0.000 0.500

Results
Offset from the most stable computed form ... 53 meV per atom
ΔE_f ... 573 meV per atom

No. 3
Here is a relaxed structure of KTa2NiOs from Alexandria via LeMat-Bulk. Energies are from GGA-PBE.

Unit cell a=4.873 b=4.873 c=4.969 alpha=90.00 beta=90.00 gamma=90.00
Space group P4/mmm (No. 123)
One atom of each set of equivalent atoms:
K 0.000 0.000 0.000
Ta 0.000 0.500 0.500
Ni 0.500 0.500 0.000
Os 0.500 0.500 0.500

Results
Offset from the most stable computed form ... 0 meV per atom
ΔE_f ... 1254 meV per atom

No. 4
Here is a relaxed structure of KTa2NiOs from Alexandria via LeMat-Bulk. Energies are from GGA-PBE.

Unit cell a=4.648 b=4.648 c=4.799 alpha=90.00 beta=90.00 gamma=90.00
Space group P4/mmm (No. 123)
One atom of each set of equivalent atoms:
K 0.000 0.000 0.000
Ta 0.000 0.500 0.500
Ni 0.000 0.000 0.500
Os 0.500 0.500 0.000

Results
Offset from the most stable computed form ... 594 meV per atom
ΔE_f ... 1848 meV per atom

No. 5
Here is a relaxed structure of K2NiP from Alexandria via LeMat-Bulk. Energies are from GGA-PBE.

Unit cell a=5.131 b=8.744 c=4.468 alpha=90.00 beta=90.00 gamma=90.00
Space group Cmmm (No. 65)
One atom of each set of equivalent atoms:
K 0.250 0.250 0.000
Ni 0.000 0.000 0.500
P 0.000 0.500 0.500

Results
ΔE_f ... 452 meV per atom

No. 6
Here is a relaxed structure of K2NiP2 from Alexandria via LeMat-Bulk. Energies are from GGA-PBE.

Unit cell a=6.037 b=6.037 c=5.455 alpha=90.00 beta=90.00 gamma=90.00
Space group P4/mbm (No. 127)
One atom of each set of equivalent atoms:
K 0.175 0.325 0.000
Ni 0.000 0.000 0.500
P 0.136 0.636 0.500

Results
Offset from the most stable computed form ... 265 meV per atom
ΔE_f ... -204 meV per atom